Density functional theory data (PBE) for Na3GeIr after structural relaxation.

Results
- E (eV/atom) = -2.508
- E above lowest polymorph (meV/atom) = 0
- DFT formation energy (eV per formula unit) = 4.90

Cell and atoms, written as CIF:
```
data_Na3GeIr
_symmetry_space_group_name_H-M 'P m -3 m'
_symmetry_Int_Tables_number 221
_symmetry_space_group_name_Hall '-P 4 2 3'
_cell_length_a 5.3449
_cell_length_b 5.3449
_cell_length_c 5.3449
_cell_angle_alpha 90.00
_cell_angle_beta 90.00
_cell_angle_gamma 90.00
loop_
_atom_site_label
_atom_site_type_symbol
_atom_site_fract_x
_atom_site_fract_y
_atom_site_fract_z
_atom_site_occupancy
Na1 Na 0.0000 0.0000 0.5000 1
Ge1 Ge 0.5000 0.5000 0.5000 1
Ir1 Ir 0.0000 0.0000 0.0000 1
```

***

Density functional theory data (PBE) for KGaSn after structural relaxation.

Results
- E (eV/atom) = -2.730
- DFT formation energy (eV per formula unit) = -0.06

Cell and atoms, written as CIF:
```
data_KGaSn
_symmetry_space_group_name_H-M 'C m m e'
_symmetry_Int_Tables_number 67
_symmetry_space_group_name_Hall '-C 2a 2'
_cell_length_a 8.4776
_cell_length_b 12.3206
_cell_length_c 3.9128
_cell_angle_alpha 90.00
_cell_angle_beta 90.00
_cell_angle_gamma 90.00
loop_
_atom_site_label
_atom_site_type_symbol
_atom_site_fract_x
_atom_site_fract_y
_atom_site_fract_z
_atom_site_occupancy
K1 K 0.2500 0.0000 0.0000 1
Ga1 Ga 0.2500 0.2500 0.5000 1
Sn1 Sn 0.0000 0.2500 0.0040 1
```

***

Density functional theory data (PBE) for LaCdOsCl2 after structural relaxation.

Results
- E (eV/atom) = -3.558
- formation energy without anion corrections (eV/atom) = 0.595

Cell and atoms, written as CIF:
```
data_LaCdOsCl2
_symmetry_space_group_name_H-M 'P 4/m m m'
_symmetry_Int_Tables_number 123
_symmetry_space_group_name_Hall '-P 4 2'
_cell_length_a 4.7063
_cell_length_b 4.7063
_cell_length_c 9.7029
_cell_angle_alpha 90.00
_cell_angle_beta 90.00
_cell_angle_gamma 90.00
loop_
_atom_site_label
_atom_site_type_symbol
_atom_site_fract_x
_atom_site_fract_y
_atom_site_fract_z
_atom_site_occupancy
La1 La 0.0000 0.0000 0.0000 1
Cd1 Cd 0.0000 0.0000 0.5000 1
Os1 Os 0.5000 0.5000 0.0000 1
Cl1 Cl 0.0000 0.5000 0.5000 1
```

***

Density functional theory data (PBE) for SrOs after structural relaxation.

Results
- E (eV/atom) = -5.278
- DFT formation energy (eV per formula unit) = 2.36

Cell and atoms, written as CIF:
```
data_SrOs
_symmetry_space_group_name_H-M 'P 4/m m m'
_symmetry_Int_Tables_number 123
_symmetry_space_group_name_Hall '-P 4 2'
_cell_length_a 2.9993
_cell_length_b 2.9993
_cell_length_c 4.8005
_cell_angle_alpha 90.00
_cell_angle_beta 90.00
_cell_angle_gamma 90.00
loop_
_atom_site_label
_atom_site_type_symbol
_atom_site_fract_x
_atom_site_fract_y
_atom_site_fract_z
_atom_site_occupancy
Sr1 Sr 0.0000 0.0000 0.0000 1
Os1 Os 0.5000 0.5000 0.5000 1
```

***

Density functional theory data (PBE) for ZnNiP2 after structural relaxation.

Results
- E (eV/atom) = -4.305
- DFT formation energy (eV per formula unit) = 0.65

Cell and atoms, written as CIF:
```
data_ZnNiP2
_symmetry_space_group_name_H-M 'C 1 2/m 1'
_symmetry_Int_Tables_number 12
_cell_length_a 5.0133
_cell_length_b 6.5203
_cell_length_c 3.8245
_cell_angle_alpha 90.00
_cell_angle_beta 114.55
_cell_angle_gamma 90.00
loop_
_symmetry_equiv_pos_as_xyz
'x,y,z'
'-x,-y,-z'
'-x,y,-z'
'x,-y,z'
'x+1/2,y+1/2,z'
'-x+1/2,-y+1/2,-z'
'-x+1/2,y+1/2,-z'
'x+1/2,-y+1/2,z'
loop_
_atom_site_label
_atom_site_type_symbol
_atom_site_fract_x
_atom_site_fract_y
_atom_site_fract_z
_atom_site_occupancy
Zn1 Zn 0.0000 0.0000 0.0000 1
Ni1 Ni 0.0000 0.5000 0.0000 1
P1 P 0.2500 0.2500 0.5000 1
```

***

Density functional theory data (PBE) for NaLiCa5 after structural relaxation.

Results
- E (eV/atom) = -1.797
- DFT formation energy (eV per formula unit) = 0.66

Cell and atoms, written as CIF:
```
data_NaLiCa5
_symmetry_space_group_name_H-M 'C 1 2/c 1'
_symmetry_Int_Tables_number 15
_cell_length_a 9.2765
_cell_length_b 9.3155
_cell_length_c 13.2320
_cell_angle_alpha 90.00
_cell_angle_beta 107.46
_cell_angle_gamma 90.00
loop_
_symmetry_equiv_pos_as_xyz
'x,y,z'
'-x,-y,-z'
'-x,y,-z+1/2'
'x,-y,z+1/2'
'x+1/2,y+1/2,z'
'-x+1/2,-y+1/2,-z'
'-x+1/2,y+1/2,-z+1/2'
'x+1/2,-y+1/2,z+1/2'
loop_
_atom_site_label
_atom_site_type_symbol
_atom_site_fract_x
_atom_site_fract_y
_atom_site_fract_z
_atom_site_occupancy
Na1 Na 0.0000 0.0057 0.2500 1
Li1 Li 0.0000 0.0000 0.0000 1
Ca1 Ca 0.0000 0.3715 0.7500 1
Ca2 Ca 0.1474 0.3686 0.0640 1
Ca3 Ca 0.2163 0.2996 0.3628 1
```

***

Density functional theory data (PBE) for Sc2GaTeAs after structural relaxation.

Results
- E (eV/atom) = -5.008
- formation energy without anion corrections (eV/atom) = -0.312

Cell and atoms, written as CIF:
```
data_Sc2GaTeAs
_symmetry_space_group_name_H-M 'P 4/m m m'
_symmetry_Int_Tables_number 123
_symmetry_space_group_name_Hall '-P 4 2'
_cell_length_a 5.1808
_cell_length_b 5.1808
_cell_length_c 4.7400
_cell_angle_alpha 90.00
_cell_angle_beta 90.00
_cell_angle_gamma 90.00
loop_
_atom_site_label
_atom_site_type_symbol
_atom_site_fract_x
_atom_site_fract_y
_atom_site_fract_z
_atom_site_occupancy
Sc1 Sc 0.0000 0.5000 0.0000 1
Ga1 Ga 0.0000 0.0000 0.5000 1
Te1 Te 0.5000 0.5000 0.5000 1
As1 As 0.0000 0.0000 0.0000 1
```

***

Density functional theory data (PBE) for DyBe2Au8 after structural relaxation.

Results
- E (eV/atom) = -3.760
- DFT formation energy (eV per formula unit) = -3.09

Cell and atoms, written as CIF:
```
data_DyBe2Au8
_symmetry_space_group_name_H-M 'C 1 2/m 1'
_symmetry_Int_Tables_number 12
_cell_length_a 7.9900
_cell_length_b 11.3890
_cell_length_c 4.4588
_cell_angle_alpha 90.00
_cell_angle_beta 107.64
_cell_angle_gamma 90.00
loop_
_symmetry_equiv_pos_as_xyz
'x,y,z'
'-x,-y,-z'
'-x,y,-z'
'x,-y,z'
'x+1/2,y+1/2,z'
'-x+1/2,-y+1/2,-z'
'-x+1/2,y+1/2,-z'
'x+1/2,-y+1/2,z'
loop_
_atom_site_label
_atom_site_type_symbol
_atom_site_fract_x
_atom_site_fract_y
_atom_site_fract_z
_atom_site_occupancy
Dy1 Dy 0.0000 0.0000 0.0000 1
Be1 Be 0.0000 0.3236 0.5000 1
Au1 Au 0.0000 0.2572 0.0000 1
Au2 Au 0.1174 0.5000 0.8146 1
Au3 Au 0.1923 0.1352 0.5925 1
```

***

Density functional theory data (PBE) for PmAl2SiAu4 after structural relaxation.

Results
- E (eV/atom) = -4.242
- formation energy without anion corrections (eV/atom) = -0.396

Cell and atoms, written as CIF:
```
data_PmAl2SiAu4
_symmetry_space_group_name_H-M 'R -3 m'
_symmetry_Int_Tables_number 166
_symmetry_space_group_name_Hall '-R 3 2"'
_cell_length_a 4.3520
_cell_length_b 4.3520
_cell_length_c 28.4543
_cell_angle_alpha 90.00
_cell_angle_beta 90.00
_cell_angle_gamma 120.00
loop_
_atom_site_label
_atom_site_type_symbol
_atom_site_fract_x
_atom_site_fract_y
_atom_site_fract_z
_atom_site_occupancy
Pm1 Pm 0.0000 0.0000 0.0000 1
Al1 Al 0.0000 0.0000 0.2478 1
Si1 Si 0.0000 0.0000 0.5000 1
Au1 Au 0.0000 0.0000 0.1275 1
Au2 Au 0.0000 0.0000 0.3978 1
```

***

Density functional theory data (PBE) for Sr2Al2Hg after structural relaxation.

Results
- E (eV/atom) = -2.256
- E above lowest polymorph (meV/atom) = 87
- DFT formation energy (eV per formula unit) = -0.13

Cell and atoms, written as CIF:
```
data_Sr2Al2Hg
_symmetry_space_group_name_H-M 'P 4/m b m'
_symmetry_Int_Tables_number 127
_symmetry_space_group_name_Hall '-P 4 2ab'
_cell_length_a 9.2863
_cell_length_b 9.2863
_cell_length_c 3.8869
_cell_angle_alpha 90.00
_cell_angle_beta 90.00
_cell_angle_gamma 90.00
loop_
_atom_site_label
_atom_site_type_symbol
_atom_site_fract_x
_atom_site_fract_y
_atom_site_fract_z
_atom_site_occupancy
Sr1 Sr 0.1906 0.3094 0.0000 1
Al1 Al 0.0978 0.5978 0.5000 1
Hg1 Hg 0.0000 0.0000 0.0000 1
```

***

Density functional theory data (PBE) for PrZnPd3 after structural relaxation.

Results
- E (eV/atom) = -4.342
- E above lowest polymorph (meV/atom) = 516
- DFT formation energy (eV per formula unit) = -0.08

Cell and atoms, written as CIF:
```
data_PrZnPd3
_symmetry_space_group_name_H-M 'C m c m'
_symmetry_Int_Tables_number 63
_symmetry_space_group_name_Hall '-C 2c 2'
_cell_length_a 7.2914
_cell_length_b 11.7261
_cell_length_c 5.0756
_cell_angle_alpha 90.00
_cell_angle_beta 90.00
_cell_angle_gamma 90.00
loop_
_atom_site_label
_atom_site_type_symbol
_atom_site_fract_x
_atom_site_fract_y
_atom_site_fract_z
_atom_site_occupancy
Pr1 Pr 0.0000 0.0801 0.2500 1
Zn1 Zn 0.0000 0.3214 0.2500 1
Pd1 Pd 0.0000 0.5000 0.0000 1
Pd2 Pd 0.1745 0.1906 0.7500 1
```

***

Density functional theory data (PBE) for YPC2S after structural relaxation.

Results
- E (eV/atom) = -4.708
- formation energy without anion corrections (eV/atom) = 2.182

Cell and atoms, written as CIF:
```
data_YPC2S
_symmetry_space_group_name_H-M 'P 4/m m m'
_symmetry_Int_Tables_number 123
_symmetry_space_group_name_Hall '-P 4 2'
_cell_length_a 4.5060
_cell_length_b 4.5060
_cell_length_c 5.3460
_cell_angle_alpha 90.00
_cell_angle_beta 90.00
_cell_angle_gamma 90.00
loop_
_atom_site_label
_atom_site_type_symbol
_atom_site_fract_x
_atom_site_fract_y
_atom_site_fract_z
_atom_site_occupancy
Y1 Y 0.0000 0.0000 0.0000 1
P1 P 0.5000 0.5000 0.5000 1
C1 C 0.0000 0.5000 0.0000 1
S1 S 0.0000 0.0000 0.5000 1
```

***

Density functional theory data (PBE) for NbAsBr3 after structural relaxation.

Results
- E (eV/atom) = -3.787
- formation energy without anion corrections (eV/atom) = 0.161
- E above lowest polymorph (meV/atom) = 0

Cell and atoms, written as CIF:
```
data_NbAsBr3
_symmetry_space_group_name_H-M 'P m -3 m'
_symmetry_Int_Tables_number 221
_symmetry_space_group_name_Hall '-P 4 2 3'
_cell_length_a 5.3308
_cell_length_b 5.3308
_cell_length_c 5.3308
_cell_angle_alpha 90.00
_cell_angle_beta 90.00
_cell_angle_gamma 90.00
loop_
_atom_site_label
_atom_site_type_symbol
_atom_site_fract_x
_atom_site_fract_y
_atom_site_fract_z
_atom_site_occupancy
Nb1 Nb 0.0000 0.0000 0.0000 1
As1 As 0.5000 0.5000 0.5000 1
Br1 Br 0.0000 0.0000 0.5000 1
```

***

Density functional theory data (PBE) for Tb6SmSc2 after structural relaxation.

Results
- E (eV/atom) = -4.888
- E above lowest polymorph (meV/atom) = 0
- DFT formation energy (eV per formula unit) = 1.18

Cell and atoms, written as CIF:
```
data_Tb6SmSc2
_symmetry_space_group_name_H-M 'C 1 2/c 1'
_symmetry_Int_Tables_number 15
_cell_length_a 13.4556
_cell_length_b 12.9381
_cell_length_c 6.5563
_cell_angle_alpha 90.00
_cell_angle_beta 104.19
_cell_angle_gamma 90.00
loop_
_symmetry_equiv_pos_as_xyz
'x,y,z'
'-x,-y,-z'
'-x,y,-z+1/2'
'x,-y,z+1/2'
'x+1/2,y+1/2,z'
'-x+1/2,-y+1/2,-z'
'-x+1/2,y+1/2,-z+1/2'
'x+1/2,-y+1/2,z+1/2'
loop_
_atom_site_label
_atom_site_type_symbol
_atom_site_fract_x
_atom_site_fract_y
_atom_site_fract_z
_atom_site_occupancy
Tb1 Tb 0.0266 0.1415 0.4992 1
Tb2 Tb 0.1202 0.4134 0.3217 1
Tb3 Tb 0.2432 0.2063 0.2347 1
Sm1 Sm 0.0000 0.3579 0.7500 1
Sc1 Sc 0.1825 0.0288 0.8711 1
```

***

Density functional theory data (PBE) for TaCdRe4 after structural relaxation.

Results
- E (eV/atom) = -10.203
- DFT formation energy (eV per formula unit) = 1.34

Cell and atoms, written as CIF:
```
data_TaCdRe4
_symmetry_space_group_name_H-M 'F -4 3 m'
_symmetry_Int_Tables_number 216
_symmetry_space_group_name_Hall 'F -4 2 3'
_cell_length_a 7.4055
_cell_length_b 7.4055
_cell_length_c 7.4055
_cell_angle_alpha 90.00
_cell_angle_beta 90.00
_cell_angle_gamma 90.00
loop_
_atom_site_label
_atom_site_type_symbol
_atom_site_fract_x
_atom_site_fract_y
_atom_site_fract_z
_atom_site_occupancy
Ta1 Ta 0.0000 0.0000 0.0000 1
Cd1 Cd 0.2500 0.2500 0.7500 1
Re1 Re 0.1247 0.1247 0.3753 1
```

***

Density functional theory data (PBE) for AlPO2F after structural relaxation.

Results
- E (eV/atom) = -5.086
- formation energy without anion corrections (eV/atom) = -0.898

Cell and atoms, written as CIF:
```
data_AlPO2F
_symmetry_space_group_name_H-M 'P 4/m m m'
_symmetry_Int_Tables_number 123
_symmetry_space_group_name_Hall '-P 4 2'
_cell_length_a 3.4965
_cell_length_b 3.4965
_cell_length_c 5.4075
_cell_angle_alpha 90.00
_cell_angle_beta 90.00
_cell_angle_gamma 90.00
loop_
_atom_site_label
_atom_site_type_symbol
_atom_site_fract_x
_atom_site_fract_y
_atom_site_fract_z
_atom_site_occupancy
Al1 Al 0.0000 0.0000 0.0000 1
P1 P 0.0000 0.0000 0.5000 1
O1 O 0.0000 0.5000 0.0000 1
F1 F 0.5000 0.5000 0.5000 1
```

***

Density functional theory data (PBE) for Ca3Al2Pt2 after structural relaxation.

Results
- E (eV/atom) = -4.497
- DFT formation energy (eV per formula unit) = -5.90

Cell and atoms, written as CIF:
```
data_Ca3Al2Pt2
_symmetry_space_group_name_H-M 'P b c m'
_symmetry_Int_Tables_number 57
_cell_length_a 5.9213
_cell_length_b 7.8782
_cell_length_c 13.9123
_cell_angle_alpha 90.00
_cell_angle_beta 90.00
_cell_angle_gamma 90.00
loop_
_symmetry_equiv_pos_as_xyz
'x,y,z'
'-x,-y,-z'
'-x,-y,z+1/2'
'x,y,-z+1/2'
'x,-y+1/2,-z'
'-x,y+1/2,z'
'-x,y+1/2,-z+1/2'
'x,-y+1/2,z+1/2'
loop_
_atom_site_label
_atom_site_type_symbol
_atom_site_fract_x
_atom_site_fract_y
_atom_site_fract_z
_atom_site_occupancy
Ca1 Ca 0.1282 0.2378 0.2500 1
Ca2 Ca 0.3580 0.6056 0.5974 1
Al1 Al 0.1052 0.2500 0.0000 1
Al2 Al 0.3496 0.5870 0.2500 1
Pt1 Pt 0.1401 0.5294 0.0938 1
```

***

Density functional theory data (PBE) for Y2CoPt after structural relaxation.

Results
- E (eV/atom) = -6.956
- DFT formation energy (eV per formula unit) = -1.75

Cell and atoms, written as CIF:
```
data_Y2CoPt
_symmetry_space_group_name_H-M 'I -4 m 2'
_symmetry_Int_Tables_number 119
_symmetry_space_group_name_Hall 'I -4 -2'
_cell_length_a 4.0134
_cell_length_b 4.0134
_cell_length_c 10.1024
_cell_angle_alpha 90.00
_cell_angle_beta 90.00
_cell_angle_gamma 90.00
loop_
_atom_site_label
_atom_site_type_symbol
_atom_site_fract_x
_atom_site_fract_y
_atom_site_fract_z
_atom_site_occupancy
Y1 Y 0.0000 0.0000 0.0000 1
Y2 Y 0.0000 0.5000 0.2500 1
Co1 Co 0.0000 0.5000 0.7500 1
Pt1 Pt 0.0000 0.0000 0.5000 1
```

***

Density functional theory data (PBE) for ZnGa2CoSn after structural relaxation.

Results
- E (eV/atom) = -3.654
- E above lowest polymorph (meV/atom) = 0
- DFT formation energy (eV per formula unit) = 0.16

Cell and atoms, written as CIF:
```
data_ZnGa2CoSn
_symmetry_space_group_name_H-M 'P 4/m m m'
_symmetry_Int_Tables_number 123
_symmetry_space_group_name_Hall '-P 4 2'
_cell_length_a 4.5769
_cell_length_b 4.5769
_cell_length_c 4.9212
_cell_angle_alpha 90.00
_cell_angle_beta 90.00
_cell_angle_gamma 90.00
loop_
_atom_site_label
_atom_site_type_symbol
_atom_site_fract_x
_atom_site_fract_y
_atom_site_fract_z
_atom_site_occupancy
Zn1 Zn 0.0000 0.0000 0.0000 1
Ga1 Ga 0.0000 0.5000 0.5000 1
Co1 Co 0.5000 0.5000 0.5000 1
Sn1 Sn 0.5000 0.5000 0.0000 1
```

***

Density functional theory data (PBE) for Nb3Ir after structural relaxation.

Results
- E (eV/atom) = -9.926
- DFT formation energy (eV per formula unit) = -0.63

Cell and atoms, written as CIF:
```
data_Nb3Ir
_symmetry_space_group_name_H-M 'I 4/m m m'
_symmetry_Int_Tables_number 139
_symmetry_space_group_name_Hall '-I 4 2'
_cell_length_a 3.9041
_cell_length_b 3.9041
_cell_length_c 9.1601
_cell_angle_alpha 90.00
_cell_angle_beta 90.00
_cell_angle_gamma 90.00
loop_
_atom_site_label
_atom_site_type_symbol
_atom_site_fract_x
_atom_site_fract_y
_atom_site_fract_z
_atom_site_occupancy
Nb1 Nb 0.0000 0.0000 0.0000 1
Nb2 Nb 0.0000 0.5000 0.2500 1
Ir1 Ir 0.0000 0.0000 0.5000 1
```